KMo2Ru PBE-GGA optimized geometry; space-group type = No. 122; ΔE to the lowest computed polymorph = 920 meV per atom; M_tot = 0.0000 μB/atom; calculated formation energy = 1.649 eV/atom
1.0
4.9836 0.0000 0.0000
0.0000 4.9836 0.0000
0.0000 0.0000 17.2033
K Mo Ru
4 8 4
direct
0.0000 0.0000 0.0000
0.0000 0.5000 0.2500
0.5000 0.0000 0.7500
0.5000 0.5000 0.5000
0.0190 0.7500 0.6250
0.2500 0.0190 0.3750
0.2500 0.4810 0.8750
0.4810 0.7500 0.1250
0.5190 0.2500 0.1250
0.7500 0.5190 0.8750
0.7500 0.9810 0.3750
0.9810 0.2500 0.6250
0.0000 0.0000 0.5000
0.0000 0.5000 0.7500
0.5000 0.0000 0.2500
0.5000 0.5000 0.0000

In2HgSbTe2 PBE-GGA optimized geometry; space-group type = No. 36; M_tot = 0.0000 μB/atom; ΔE_f (raw) = -3.0 kcal/mol of atoms
1.0
9.1016 -3.1611 0.0000
9.1016 3.1611 0.0000
0.0000 0.0000 6.3333
In Hg Sb Te
4 2 2 4
direct
0.0584 0.6076 0.5000
0.3924 0.9416 0.5000
0.6076 0.0584 0.0000
0.9416 0.3924 0.0000
0.4876 0.5124 0.7801
0.5124 0.4876 0.2801
0.1279 0.8721 0.5136
0.8721 0.1279 0.0136
0.1093 0.5534 0.0035
0.4466 0.8907 0.0035
0.5534 0.1093 0.5035
0.8907 0.4466 0.5035

LiH2Pd3 PBE-GGA optimized geometry; space-group type = No. 12; ΔE to the lowest computed polymorph = 78 meV per atom; M_tot = 0.0000 μB/atom
1.0
7.0660 -1.4187 0.0000
7.0660 1.4187 0.0000
-1.8354 0.0000 6.7781
Li H Pd
2 4 6
direct
0.1245 0.1245 0.4626
0.8755 0.8755 0.5374
0.2286 0.2286 0.2723
0.4292 0.4292 0.7733
0.5708 0.5708 0.2267
0.7714 0.7714 0.7277
0.0995 0.0995 0.0887
0.2190 0.2190 0.8163
0.4582 0.4582 0.2849
0.5418 0.5418 0.7151
0.7810 0.7810 0.1837
0.9005 0.9005 0.9113

Ce3GaGe2 PBE-GGA optimized geometry; space-group type = No. 62; ΔE to the lowest computed polymorph = 0 meV per atom; M_tot = 0.4107 μB/atom; calculated formation energy = -0.598 eV/atom
1.0
12.3859 0.0000 0.0000
0.0000 4.1649 0.0000
0.0000 0.0000 10.9969
Ce Ga Ge
12 4 8
direct
0.0419 0.2500 0.0928
0.1232 0.7500 0.5694
0.2162 0.2500 0.7703
0.2838 0.7500 0.2703
0.3768 0.2500 0.0694
0.4581 0.7500 0.5928
0.5419 0.2500 0.4072
0.6232 0.7500 0.9306
0.7162 0.2500 0.7297
0.7838 0.7500 0.2297
0.8768 0.2500 0.4306
0.9581 0.7500 0.9072
0.1244 0.2500 0.3623
0.3756 0.7500 0.8623
0.6244 0.2500 0.1377
0.8756 0.7500 0.6377
0.0187 0.7500 0.2953
0.2000 0.7500 0.9923
0.3000 0.2500 0.4923
0.4813 0.2500 0.7953
0.5187 0.7500 0.2047
0.7000 0.7500 0.5077
0.8000 0.2500 0.0077
0.9813 0.2500 0.7047

Ba2TlFe PBE-GGA optimized geometry; space-group type = No. 12; M_tot = 0.5794 μB/atom; calculated formation energy = 0.422 eV/atom
1.0
8.0599 0.0000 0.0000
0.0000 3.9519 0.0000
-1.7652 0.0000 9.6048
Ba Tl Fe
4 2 2
direct
0.2444 0.0000 0.2185
0.2556 0.5000 0.7815
0.7444 0.5000 0.2185
0.7556 0.0000 0.7815
0.0000 0.0000 0.5000
0.5000 0.5000 0.5000
0.0000 0.5000 0.0000
0.5000 0.0000 0.0000

CdCoTc2 PBE-GGA optimized geometry; space-group type = No. 8; M_tot = 0.3161 μB/atom; calculated formation energy = 0.387 eV/atom
1.0
8.9944 0.0000 0.0000
0.0000 2.7536 0.0000
-0.8534 0.0000 4.8782
Cd Co Tc
2 2 4
direct
0.0000 0.0000 0.0000
0.5000 0.5000 0.0000
0.2548 0.5000 0.2517
0.7548 0.0000 0.2517
0.2370 0.0000 0.6808
0.4850 0.0000 0.4918
0.7370 0.5000 0.6808
0.9850 0.5000 0.4918

K2CdRh PBE-GGA optimized geometry; space-group type = No. 44; M_tot = 0.0000 μB/atom; calculated formation energy = 0.283 eV/atom
1.0
4.7134 0.0000 0.0000
0.0000 5.7509 0.0000
0.0000 0.0000 9.3694
K Cd Rh
4 2 2
direct
0.0000 0.0000 0.0000
0.0000 0.5000 0.2020
0.5000 0.0000 0.7020
0.5000 0.5000 0.5000
0.0000 0.0000 0.4176
0.5000 0.5000 0.9176
0.0000 0.5000 0.7943
0.5000 0.0000 0.2943

Ga2HgTe2 PBE-GGA optimized geometry; space-group type = No. 127; ΔE to the lowest computed polymorph = 118 meV per atom; M_tot = 0.0000 μB/atom; ΔE_f (raw) = 0.0 kcal/mol of atoms
1.0
8.3648 0.0000 0.0000
0.0000 8.3648 0.0000
0.0000 0.0000 3.9497
Ga Hg Te
4 2 4
direct
0.1260 0.3740 0.0000
0.3740 0.8740 0.0000
0.6260 0.1260 0.0000
0.8740 0.6260 0.0000
0.0000 0.0000 0.5000
0.5000 0.5000 0.5000
0.1808 0.6808 0.5000
0.3192 0.1808 0.5000
0.6808 0.8192 0.5000
0.8192 0.3192 0.5000

CsKRbNa PBE-GGA optimized geometry; space-group type = No. 99; ΔE to the lowest computed polymorph = 0 meV per atom; M_tot = 0.0000 μB/atom; calculated formation energy = 0.024 eV/atom
1.0
5.1106 0.0000 0.0000
0.0000 5.1106 0.0000
0.0000 0.0000 11.7852
Cs K Rb Na
1 1 1 1
direct
0.0000 0.0000 0.0000
0.5000 0.5000 0.7058
0.5000 0.5000 0.3230
0.0000 0.0000 0.5346

Ti4Nb9In11 PBE-GGA optimized geometry; space-group type = No. 65; M_tot = 0.0000 μB/atom; calculated formation energy = 0.109 eV/atom
1.0
7.0774 -11.3094 0.0000
7.0774 11.3094 0.0000
0.0000 0.0000 2.9611
Ti Nb In
4 9 11
direct
0.0662 0.2790 0.0000
0.2790 0.0662 0.0000
0.7210 0.9338 0.0000
0.9338 0.7210 0.0000
0.0000 0.0000 0.0000
0.1242 0.6820 0.0000
0.2901 0.4333 0.0000
0.3180 0.8758 0.0000
0.4333 0.2901 0.0000
0.5667 0.7099 0.0000
0.6820 0.1242 0.0000
0.7099 0.5667 0.0000
0.8758 0.3180 0.0000
0.1032 0.4757 0.5000
0.1208 0.8792 0.5000
0.2082 0.2082 0.5000
0.3354 0.6646 0.5000
0.4757 0.1032 0.5000
0.5000 0.5000 0.5000
0.5243 0.8968 0.5000
0.6646 0.3354 0.5000
0.7919 0.7919 0.5000
0.8792 0.1208 0.5000
0.8968 0.5243 0.5000

HfSiBi PBE-GGA optimized geometry; space-group type = No. 129; M_tot = 0.0000 μB/atom; ΔE_f (raw) = -6.7 kcal/mol of atoms
1.0
3.8270 0.0000 0.0000
0.0000 3.8270 0.0000
0.0000 0.0000 8.7818
Hf Si Bi
2 2 2
direct
0.2500 0.2500 0.2317
0.7500 0.7500 0.7683
0.2500 0.7500 0.0000
0.7500 0.2500 0.0000
0.2500 0.2500 0.6167
0.7500 0.7500 0.3833

Al2CdGaSe6 PBE-GGA optimized geometry; space-group type = No. 15; M_tot = 0.0000 μB/atom; ΔE_f (raw) = -13.1 kcal/mol of atoms
1.0
6.5206 -6.6433 0.0000
6.5206 6.6433 0.0000
-3.0486 0.0000 6.3205
Al Cd Ga Se
4 2 2 12
direct
0.0942 0.2629 0.1890
0.2629 0.0942 0.6890
0.7371 0.9058 0.3110
0.9058 0.7371 0.8110
0.3311 0.6689 0.7500
0.6689 0.3311 0.2500
0.3259 0.6741 0.2500
0.6741 0.3259 0.7500
0.0499 0.1676 0.4560
0.1205 0.6004 0.9085
0.1676 0.0499 0.9560
0.3149 0.4522 0.3742
0.3996 0.8795 0.5915
0.4522 0.3149 0.8742
0.5478 0.6851 0.1258
0.6004 0.1205 0.4085
0.6851 0.5478 0.6258
0.8324 0.9501 0.0440
0.8795 0.3996 0.0915
0.9501 0.8324 0.5440

ScReSi2 PBE-GGA optimized geometry; space-group type = No. 65; M_tot = 0.0000 μB/atom; ΔE_f (raw) = -2.0 kcal/mol of atoms
1.0
3.1361 0.0000 0.0000
0.0000 4.9651 0.0000
0.0000 0.0000 8.1697
Sc Re Si
2 2 4
direct
0.0000 0.0000 0.0000
0.5000 0.5000 0.0000
0.0000 0.0000 0.5000
0.5000 0.5000 0.5000
0.0000 0.5000 0.2677
0.0000 0.5000 0.7323
0.5000 0.0000 0.2677
0.5000 0.0000 0.7323

Rb5AuCl2O PBE-GGA optimized geometry; space-group type = No. 36; M_tot = 0.0118 μB/atom; ΔE_f (raw) = -27.3 kcal/mol of atoms
1.0
2.2338 -10.9391 0.0000
2.2338 10.9391 0.0000
0.0000 0.0000 13.9919
Rb Au Cl O
10 2 4 2
direct
0.0140 0.9860 0.5000
0.1418 0.8582 0.1857
0.2205 0.7795 0.6161
0.2522 0.7478 0.8720
0.3806 0.6194 0.2727
0.6194 0.3806 0.7727
0.7478 0.2522 0.3720
0.7795 0.2205 0.1161
0.8582 0.1418 0.6857
0.9860 0.0140 0.0000
0.0051 0.9949 0.7536
0.9949 0.0051 0.2536
0.3614 0.6386 0.5098
0.3774 0.6226 0.0137
0.6226 0.3774 0.5137
0.6386 0.3614 0.0098
0.2577 0.7423 0.2455
0.7423 0.2577 0.7455

BAsRh3 PBE-GGA optimized geometry; space-group type = No. 221; ΔE to the lowest computed polymorph = 1352 meV per atom; M_tot = 0.0000 μB/atom; calculated formation energy = 1.364 eV/atom
1.0
4.5229 0.0000 0.0000
0.0000 4.5229 0.0000
0.0000 0.0000 4.5229
B As Rh
1 1 3
direct
0.0000 0.0000 0.0000
0.5000 0.5000 0.5000
0.0000 0.5000 0.5000
0.5000 0.0000 0.5000
0.5000 0.5000 0.0000

YSiRh3 PBE-GGA optimized geometry; space-group type = No. 221; ΔE to the lowest computed polymorph = 0 meV per atom; M_tot = 0.0000 μB/atom; ΔE_f (raw) = -15.4 kcal/mol of atoms
1.0
4.4628 0.0000 0.0000
0.0000 4.4628 0.0000
0.0000 0.0000 4.4628
Y Si Rh
1 1 3
direct
0.0000 0.0000 0.0000
0.5000 0.5000 0.5000
0.0000 0.5000 0.5000
0.5000 0.0000 0.5000
0.5000 0.5000 0.0000

CePu5As6 PBE-GGA optimized geometry; space-group type = No. 12; M_tot = 2.1613 μB/atom; calculated formation energy = -1.091 eV/atom
1.0
3.6007 -6.2357 0.0000
3.6007 6.2357 0.0000
-2.3999 0.0000 6.7895
Ce Pu As
1 5 6
direct
0.0000 0.0000 0.0000
0.1657 0.8343 0.5000
0.3330 0.6670 0.0000
0.5000 0.5000 0.5000
0.6670 0.3330 0.0000
0.8343 0.1657 0.5000
0.0843 0.4203 0.2524
0.2526 0.2526 0.7491
0.4203 0.0843 0.2524
0.5797 0.9157 0.7476
0.7474 0.7474 0.2509
0.9157 0.5797 0.7476

SrAg4ClO2 PBE-GGA optimized geometry; space-group type = No. 123; M_tot = 0.0000 μB/atom; ΔE_f (raw) = -10.1 kcal/mol of atoms
1.0
3.8441 0.0000 0.0000
0.0000 3.8441 0.0000
0.0000 0.0000 10.2806
Sr Ag Cl O
1 4 1 2
direct
0.0000 0.0000 0.0000
0.0000 0.5000 0.2822
0.0000 0.5000 0.7178
0.5000 0.0000 0.2822
0.5000 0.0000 0.7178
0.0000 0.0000 0.5000
0.5000 0.5000 0.1268
0.5000 0.5000 0.8732

Sm5Te4I PBE-GGA optimized geometry; space-group type = No. 139; ΔE to the lowest computed polymorph = 3 meV per atom; M_tot = 0.0000 μB/atom; ΔE_f (raw) = -28.3 kcal/mol of atoms
1.0
-2.2072 2.2072 16.0476
2.2072 -2.2072 16.0476
2.2072 2.2072 -16.0476
Sm Te I
5 4 1
direct
0.0000 0.0000 0.0000
0.1914 0.1914 0.0000
0.3917 0.3917 0.0000
0.6083 0.6083 0.0000
0.8086 0.8086 0.0000
0.0958 0.0958 0.0000
0.2940 0.2940 0.0000
0.7060 0.7060 0.0000
0.9042 0.9042 0.0000
0.5000 0.5000 0.0000

HfMn2Te4 PBE-GGA optimized geometry; space-group type = No. 12; M_tot = 1.1954 μB/atom; ΔE_f (raw) = -8.8 kcal/mol of atoms
1.0
14.5494 0.0000 0.0000
0.0000 4.0292 0.0000
-3.5465 0.0000 6.2718
Hf Mn Te
2 4 8
direct
0.0000 0.0000 0.0000
0.5000 0.5000 0.0000
0.2496 0.0000 0.2844
0.2504 0.5000 0.7156
0.7504 0.0000 0.7156
0.7496 0.5000 0.2844
0.1174 0.0000 0.4589
0.1337 0.5000 0.9641
0.3663 0.0000 0.0359
0.3826 0.5000 0.5411
0.6174 0.5000 0.4589
0.6337 0.0000 0.9641
0.8663 0.5000 0.0359
0.8826 0.0000 0.5411